1.
Below is a geometry-optimized TbNd2I structure, with properties calculated at the PBE-GGA level.

abc: 3.8372 3.8372 32.2075
angles: 90.00 90.00 120.00
Space group R3m (No. 160, hexagonal axes)
One atom of each set of equivalent atoms:
Tb1 0.0000 0.0000 0.0000 (multiplicity 3)
Nd1 0.0000 0.0000 0.2454 (multiplicity 3)
Nd2 0.0000 0.0000 0.4206 (multiplicity 3)
I1 0.0000 0.0000 0.8332 (multiplicity 3)

**Calculated total energy**: -4.3167 eV per atom
**Uncorrected formation energy**: -0.388 eV/atom
**Size of the total moment**: 0.09 μB/atom

=====

2.
Below is a geometry-optimized Nd3TcI structure, with properties calculated at the PBE-GGA level.

abc: 9.260 3.869 9.557
angles: 90.00 113.69 90.00
Space group P2_1/m (No. 11)
One atom of each set of equivalent atoms:
Nd1 0.034 0.250 0.195 (multiplicity 2)
Nd2 0.237 0.750 0.550 (multiplicity 2)
Nd3 0.379 0.750 0.202 (multiplicity 2)
Tc1 0.396 0.250 0.433 (multiplicity 2)
I1 0.289 0.250 0.877 (multiplicity 2)

**Calculated total energy**: -5.5431 eV per atom
**Uncorrected formation energy**: -0.299 eV/atom
**Size of the total moment**: 0.00 μB/atom

=====

3.
Below is a geometry-optimized Nd2TcI structure, with properties calculated at the PBE-GGA level.

abc: 3.627 3.627 8.381
angles: 90.00 90.00 90.00
Space group P4/mmm (No. 123)
One atom of each set of equivalent atoms:
Nd1 0.000 0.000 0.200 (multiplicity 2)
Tc1 0.500 0.500 0.000 (multiplicity 1)
I1 0.500 0.500 0.500 (multiplicity 1)

**Calculated total energy**: -5.7318 eV per atom
**Uncorrected formation energy**: -0.369 eV/atom
**Size of the total moment**: 0.00 μB/atom